Density functional theory data (PBE-GGA) for a geometry-optimized Ca2LaHW structure.

Unit cell a=4.7473 b=4.7473 c=4.8658 alpha=90.00 beta=90.00 gamma=90.00
Closest atoms and distances in Å follow each position.
Fractional positions:
1 Ca 0.0000 0.5000 0.0000  2 H 2.37
2 Ca 0.5000 0.0000 0.0000  2 H 2.37
3 La 0.0000 0.0000 0.5000  4 W 3.36, 8 Ca 3.40
4 H 0.5000 0.5000 0.0000  4 Ca 2.37, 2 W 2.43
5 W 0.5000 0.5000 0.5000  2 H 2.43

## Properties
**ρ**: 6.1 g/cm³
**D(E_F)**: 6.19 states/eV/f.u.
**VASP energy**: -4.50 eV per atom


Density functional theory data (PBE-GGA) for a geometry-optimized Ca2LaYH structure.

Unit cell a=5.1559 b=5.1559 c=5.4209 alpha=90.00 beta=90.00 gamma=90.00
Closest atoms and distances in Å follow each position.
Fractional positions:
1 Ca 0.0000 0.5000 0.0000  2 H 2.58
2 Ca 0.5000 0.0000 0.0000  2 H 2.58
3 La 0.0000 0.0000 0.5000  2 H 2.71
4 Y 0.5000 0.5000 0.5000  4 La 3.65, 8 Ca 3.74
5 H 0.0000 0.0000 0.0000  4 Ca 2.58, 2 La 2.71

## Properties
**ρ**: 3.6 g/cm³
**D(E_F)**: 7.07 states/eV/f.u.
**Polymorph energy (0 for the lowest one)**: 0 meV per atom
**VASP energy**: -3.81 eV per atom


Density functional theory data (PBE-GGA) for a geometry-optimized CaLa2YH structure.

Unit cell a=5.3068 b=5.3068 c=5.1184 alpha=90.00 beta=90.00 gamma=90.00
Closest atoms and distances in Å follow each position.
Fractional positions:
1 Ca 0.0000 0.0000 0.0000  8 La 3.69, 4 Y 3.75
2 La 0.0000 0.5000 0.5000  2 H 2.65
3 La 0.5000 0.0000 0.5000  2 H 2.65
4 Y 0.5000 0.5000 0.0000  2 H 2.56
5 H 0.5000 0.5000 0.5000  2 Y 2.56, 4 La 2.65

## Properties
**ρ**: 4.7 g/cm³
**D(E_F)**: 5.90 states/eV/f.u.
**Polymorph energy (0 for the lowest one)**: 13 meV per atom
**VASP energy**: -4.44 eV per atom